DFT (PBE+U) results for a geometry-optimized Li2MnP2O7 structure.

Unit cell a=5.1298 b=7.2675 c=8.5525 alpha=90.00 beta=90.00 gamma=110.30
Closest atoms and distances in Å follow each position.
Positions (direct):
O: 0.7917 0.9909 0.3319  1 P 1.53
O: 0.0701 0.4117 0.8137  1 P 1.53
O: 0.4445 0.1135 0.1936  1 P 1.53
O: 0.7857 0.0030 0.0361  1 P 1.53
O: 0.6054 0.2480 0.6752  2 P 1.62-1.63
O: 0.9299 0.5883 0.3137  1 P 1.53
O: 0.2201 0.3914 0.2101  1 P 1.54
O: 0.2083 0.0091 0.8320  1 P 1.53
O: 0.3946 0.7520 0.1752  2 P 1.62-1.63
O: 0.6207 0.3982 0.9497  1 P 1.53
O: 0.5555 0.8865 0.6936  1 P 1.53
O: 0.2143 0.9970 0.5361  1 P 1.53
O: 0.3793 0.6018 0.4497  1 P 1.53
O: 0.7799 0.6086 0.7101  1 P 1.54
P: 0.6131 0.9763 0.1861  4 O 1.53-1.63
P: 0.3869 0.0237 0.6861  4 O 1.53-1.63
P: 0.7774 0.4207 0.7948  4 O 1.53-1.62
P: 0.2226 0.5793 0.2948  4 O 1.53-1.62
Li: 0.6456 0.4055 0.1794  4 O 1.97-2.17
Li: 0.1870 0.1463 0.3503  4 O 1.95-2.10
Li: 0.3544 0.5945 0.6794  4 O 1.97-2.17
Li: 0.8130 0.8537 0.8503  4 O 1.95-2.10
Mn: 0.8157 0.7731 0.4899  5 O 2.12-2.23
Mn: 0.1843 0.2269 0.9899  5 O 2.12-2.23

final energy: -6.99 eV per atom
crystal system: monoclinic
calculated volume: 299 Å³ per cell